#w
The following is a DFT calculation (PBEsol) of an optimized crystal structure of MgNbAs2Se.

```
MgNbAs2Se
1.0
5.0174 0.0000 0.0000
0.0000 4.9625 0.0000
0.0000 0.0000 4.9625
Se As Mg Nb
1 2 1 1
Cartesian
2.5087 0.0000 0.0000 Se
0.0000 0.0000 2.4812 As
0.0000 2.4812 0.0000 As
2.5087 2.4812 2.4812 Mg
0.0000 0.0000 0.0000 Nb
```

## Properties
ρ (g/cm³): 4.650
Size of the total moment (μB/cell): 0.00

---

#x
The following is a DFT calculation (PBEsol) of an optimized crystal structure of MgNbAs2Se.

```
MgNbAs2Se
1.0
-1.7532 2.4942 -3.6642
-4.2650 -2.0226 0.6638
-1.2346 3.6018 3.0425
Se Mg As Nb
1 1 2 1
Cartesian
-0.6173 1.8009 1.5212 Se
0.0000 0.0000 0.0000 Mg
-2.1325 -1.0113 0.3319 As
-0.8766 1.2471 -1.8321 As
-3.6264 2.0367 0.0210 Nb
```

## Properties
ρ (g/cm³): 5.188
Size of the total moment (μB/cell): 2.23

---

The structure with the most favorable energy is #w; the runner-up is 0.794 eV/atom above it.

---

#w
The following is a DFT calculation (PBEsol) of an optimized crystal structure of MgAs2Os.

```
MgAs2Os
1.0
4.5140 0.0000 0.0000
-2.2570 3.7958 0.1489
0.0000 2.5376 3.7333
Os Mg As
1 1 2
Cartesian
0.0000 0.0000 0.0000 Os
2.2570 1.2688 1.8666 Mg
2.2570 3.8011 2.8744 As
0.0000 2.5323 1.0078 As
```

## Properties
ρ (g/cm³): 9.718
Size of the total moment (μB/cell): 0.00

---

#x
The following is a DFT calculation (PBEsol) of an optimized crystal structure of MgAs2Os.

```
MgAs2Os
1.0
3.0118 0.0000 0.0000
-1.5059 4.2588 -0.0045
0.0000 -2.3474 5.7414
Mg As Os
1 2 1
Cartesian
1.5059 -0.6044 2.7588 Mg
1.5059 1.6915 4.9591 As
1.5059 1.7116 1.4433 As
0.0000 -0.1497 5.1833 Os
```

## Properties
ρ (g/cm³): 8.220
Size of the total moment (μB/cell): 0.00

---

#y
The following is a DFT calculation (PBEsol) of an optimized crystal structure of MgAs2Os.

```
MgAs2Os
1.0
-1.3903 -2.6448 -0.3371
1.1071 -1.0084 3.3450
-5.1586 4.2943 0.9943
As Mg Os
2 1 1
Cartesian
-4.8414 0.3616 3.7192 As
-2.9560 -0.2698 0.8971 As
-0.7303 -1.5525 1.7814 Mg
-2.4973 0.9163 3.1105 Os
```

## Properties
ρ (g/cm³): 8.636
Size of the total moment (μB/cell): 0.00

---

#z
The following is a DFT calculation (PBEsol) of an optimized crystal structure of MgAs2Os.

```
MgAs2Os
1.0
3.1606 0.0000 0.0000
0.0000 4.4757 0.0000
0.0000 0.0000 4.4757
As Os Mg
2 1 1
Cartesian
0.0000 2.2379 0.0000 As
0.0000 0.0000 2.2379 As
1.5803 0.0000 0.0000 Os
1.5803 2.2379 2.2379 Mg
```

## Properties
ρ (g/cm³): 9.557
Size of the total moment (μB/cell): 0.00

---

The structure with the most favorable energy is #x; the runner-up is 0.087 eV/atom above it.

---

#w
The following is a DFT calculation (PBEsol) of an optimized crystal structure of MgAsP2.

```
MgAsP2
1.0
-1.6703 0.7801 -3.9077
-2.7930 -2.0581 3.1717
-3.0844 2.4295 1.8034
P As Mg
2 1 1
Cartesian
-4.9625 1.3782 0.0076 P
-2.5852 -0.2266 1.0598 P
-2.3774 1.6048 -1.0521 As
0.0000 0.0000 0.0000 Mg
```

## Properties
ρ (g/cm³): 4.013
Size of the total moment (μB/cell): 0.00

---

#x
The following is a DFT calculation (PBEsol) of an optimized crystal structure of MgAsP2.

```
MgAsP2
1.0
3.5129 0.0000 0.0000
0.0000 3.5129 0.0000
0.0000 0.0000 5.4510
As Mg P
1 1 2
Cartesian
1.7565 1.7565 0.0000 As
1.7565 1.7565 2.7255 Mg
0.0000 0.0000 1.5940 P
0.0000 0.0000 3.8570 P
```

## Properties
ρ (g/cm³): 3.979
Size of the total moment (μB/cell): 0.00

---

#y
The following is a DFT calculation (PBEsol) of an optimized crystal structure of MgAsP2.

```
MgAsP2
1.0
-3.3795 0.0587 1.5167
-1.5171 -0.0165 -3.3798
2.3861 -4.9452 0.9835
P As Mg
2 1 1
Cartesian
0.0000 0.0000 0.0000 P
-1.7209 -2.4327 0.7843 P
-2.4483 0.0211 -0.9316 As
-0.7896 -2.4703 -1.6639 Mg
```

## Properties
ρ (g/cm³): 3.960
Size of the total moment (μB/cell): 0.00

---

The structure with the most favorable energy is #x; the runner-up is 0.034 eV/atom above it.